(1)
DFT (GGA-PBE) results for MgCuTe2N after structural relaxation.

Offset from the most stable computed form (meV per atom): 385.4
Theoretical density (g/cm³): 4.9
Symmetry: P4/mmm

```
data_MgCuTe2N
_cell_length_a 5.5978
_cell_length_b 5.5978
_cell_length_c 3.8241
_cell_angle_alpha 90.00
_cell_angle_beta 90.00
_cell_angle_gamma 90.00
_space_group_name_H-M_alt 'P 1'
_space_group_IT_number 1
_space_group_name_Hall 'P 1'
loop_
_atom_site_label
_atom_site_fract_x
_atom_site_fract_y
_atom_site_fract_z
Mg1 0.0000 0.0000 0.0000
Te1 0.0000 0.5000 0.0000
Te2 0.5000 0.0000 0.0000
Cu1 0.5000 0.5000 0.5000
N1 0.0000 0.0000 0.5000
```


(2)
DFT (GGA-PBE) results for MgCuTeN2 after structural relaxation.

Offset from the most stable computed form (meV per atom): 160.1
Theoretical density (g/cm³): 4.0
Symmetry: P4/mmm

```
data_MgCuTeN2
_cell_length_a 4.0380
_cell_length_b 4.0380
_cell_length_c 6.1544
_cell_angle_alpha 90.00
_cell_angle_beta 90.00
_cell_angle_gamma 90.00
_space_group_name_H-M_alt 'P 1'
_space_group_IT_number 1
_space_group_name_Hall 'P 1'
loop_
_atom_site_label
_atom_site_fract_x
_atom_site_fract_y
_atom_site_fract_z
Mg1 0.0000 0.0000 0.0000
Te1 0.0000 0.0000 0.5000
Cu1 0.5000 0.5000 0.5000
N1 0.0000 0.5000 0.0000
N2 0.5000 0.0000 0.0000
```


(3)
DFT (GGA-PBE) results for MgCuTeN2 after structural relaxation.

Offset from the most stable computed form (meV per atom): 0.0
Theoretical density (g/cm³): 4.6
Symmetry: P4/mmm

```
data_MgCuTeN2
_cell_length_a 3.9559
_cell_length_b 3.9559
_cell_length_c 5.5802
_cell_angle_alpha 90.00
_cell_angle_beta 90.00
_cell_angle_gamma 90.00
_space_group_name_H-M_alt 'P 1'
_space_group_IT_number 1
_space_group_name_Hall 'P 1'
loop_
_atom_site_label
_atom_site_fract_x
_atom_site_fract_y
_atom_site_fract_z
Mg1 0.5000 0.5000 0.5000
Te1 0.0000 0.0000 0.5000
Cu1 0.0000 0.0000 0.0000
N1 0.0000 0.5000 0.0000
N2 0.5000 0.0000 0.0000
```


(4)
DFT (GGA-PBE) results for MgZr2CuN after structural relaxation.

E (eV for the cell shown): -33.8
Theoretical density (g/cm³): 5.7
Symmetry: P4/mmm

```
data_MgZr2CuN
_cell_length_a 4.4511
_cell_length_b 4.4511
_cell_length_c 4.1623
_cell_angle_alpha 90.00
_cell_angle_beta 90.00
_cell_angle_gamma 90.00
_space_group_name_H-M_alt 'P 1'
_space_group_IT_number 1
_space_group_name_Hall 'P 1'
loop_
_atom_site_label
_atom_site_fract_x
_atom_site_fract_y
_atom_site_fract_z
Mg1 0.0000 0.0000 0.5000
Cu1 0.5000 0.5000 0.5000
Zr1 0.0000 0.5000 0.0000
Zr2 0.5000 0.0000 0.0000
N1 0.0000 0.0000 0.0000
```


(5)
DFT (GGA-PBE) results for NaMg2Cu2 after structural relaxation.

Formation energy from the elements (kJ/mol of atoms): 12.3
Offset from the most stable computed form (meV per atom): 101.4
Theoretical density (g/cm³): 3.2
Symmetry: I4/mmm

```
data_NaMg2Cu2
_cell_length_a 4.2925
_cell_length_b 4.2925
_cell_length_c 6.3839
_cell_angle_alpha 70.35
_cell_angle_beta 70.35
_cell_angle_gamma 90.00
_space_group_name_H-M_alt 'P 1'
_space_group_IT_number 1
_space_group_name_Hall 'P 1'
loop_
_atom_site_label
_atom_site_fract_x
_atom_site_fract_y
_atom_site_fract_z
Na1 0.0000 0.0000 0.0000
Mg1 0.7500 0.2500 0.5000
Mg2 0.2500 0.7500 0.5000
Cu1 0.3941 0.3941 0.2118
Cu2 0.6059 0.6059 0.7882
```


(6)
DFT (GGA-PBE) results for NaMg6Cu after structural relaxation.

Formation energy from the elements (kJ/mol of atoms): 7.8
Theoretical density (g/cm³): 2.2
Symmetry: Amm2

```
data_NaMg6Cu
_cell_length_a 6.3447
_cell_length_b 6.3447
_cell_length_c 4.9605
_cell_angle_alpha 90.00
_cell_angle_beta 90.00
_cell_angle_gamma 119.61
_space_group_name_H-M_alt 'P 1'
_space_group_IT_number 1
_space_group_name_Hall 'P 1'
loop_
_atom_site_label
_atom_site_fract_x
_atom_site_fract_y
_atom_site_fract_z
Na1 0.6642 0.3358 0.5000
Mg1 0.1634 0.3325 0.5000
Mg2 0.6675 0.8366 0.5000
Mg3 0.3230 0.1477 0.0000
Mg4 0.8523 0.6770 0.0000
Mg5 0.3289 0.6711 0.0000
Mg6 0.8357 0.1643 0.0000
Cu1 0.1649 0.8351 0.5000
```


(7)
DFT (GGA-PBE) results for NaMg2Cu2 after structural relaxation.

Formation energy from the elements (kJ/mol of atoms): 2.5
Offset from the most stable computed form (meV per atom): 0.0
Theoretical density (g/cm³): 3.6
Symmetry: P4/mbm

```
data_NaMg2Cu2
_cell_length_a 7.7163
_cell_length_b 7.7163
_cell_length_c 3.0929
_cell_angle_alpha 90.00
_cell_angle_beta 90.00
_cell_angle_gamma 90.00
_space_group_name_H-M_alt 'P 1'
_space_group_IT_number 1
_space_group_name_Hall 'P 1'
loop_
_atom_site_label
_atom_site_fract_x
_atom_site_fract_y
_atom_site_fract_z
Na1 0.0000 0.0000 0.0000
Na2 0.5000 0.5000 0.0000
Mg1 0.1672 0.6672 0.5000
Mg2 0.6672 0.8328 0.5000
Mg3 0.8328 0.3328 0.5000
Mg4 0.3328 0.1672 0.5000
Cu1 0.3787 0.8787 0.0000
Cu2 0.8787 0.6213 0.0000
Cu3 0.6213 0.1213 0.0000
Cu4 0.1213 0.3787 0.0000
```


(8)
DFT (GGA-PBE) results for Na2MgCu2 after structural relaxation.

Formation energy from the elements (kJ/mol of atoms): 34.5
Offset from the most stable computed form (meV per atom): 149.4
Theoretical density (g/cm³): 3.3
Symmetry: P4/mbm

```
data_Na2MgCu2
_cell_length_a 8.3436
_cell_length_b 8.3436
_cell_length_c 2.8812
_cell_angle_alpha 90.00
_cell_angle_beta 90.00
_cell_angle_gamma 90.00
_space_group_name_H-M_alt 'P 1'
_space_group_IT_number 1
_space_group_name_Hall 'P 1'
loop_
_atom_site_label
_atom_site_fract_x
_atom_site_fract_y
_atom_site_fract_z
Na1 0.3748 0.8748 0.0000
Na2 0.8748 0.6252 0.0000
Na3 0.6252 0.1252 0.0000
Na4 0.1252 0.3748 0.0000
Mg1 0.0000 0.0000 0.0000
Mg2 0.5000 0.5000 0.0000
Cu1 0.1753 0.6753 0.5000
Cu2 0.6753 0.8247 0.5000
Cu3 0.8247 0.3247 0.5000
Cu4 0.3247 0.1753 0.5000
```


(9)
DFT (GGA-PBE) results for Na2MgCu2 after structural relaxation.

Formation energy from the elements (kJ/mol of atoms): 20.0
Offset from the most stable computed form (meV per atom): 0.0
Theoretical density (g/cm³): 3.0
Symmetry: P4/mbm

```
data_Na2MgCu2
_cell_length_a 6.8319
_cell_length_b 6.8319
_cell_length_c 4.6060
_cell_angle_alpha 90.00
_cell_angle_beta 90.00
_cell_angle_gamma 90.00
_space_group_name_H-M_alt 'P 1'
_space_group_IT_number 1
_space_group_name_Hall 'P 1'
loop_
_atom_site_label
_atom_site_fract_x
_atom_site_fract_y
_atom_site_fract_z
Na1 0.1717 0.6717 0.5000
Na2 0.6717 0.8283 0.5000
Na3 0.8283 0.3283 0.5000
Na4 0.3283 0.1717 0.5000
Mg1 0.0000 0.0000 0.0000
Mg2 0.5000 0.5000 0.0000
Cu1 0.3757 0.8757 0.0000
Cu2 0.8757 0.6243 0.0000
Cu3 0.6243 0.1243 0.0000
Cu4 0.1243 0.3757 0.0000
```


(10)
DFT (GGA-PBE) results for NaMg6Cu after structural relaxation.

Formation energy from the elements (kJ/mol of atoms): 7.8
Theoretical density (g/cm³): 2.2
Symmetry: Amm2

```
data_NaMg6Cu
_cell_length_a 6.3898
_cell_length_b 6.3898
_cell_length_c 4.9558
_cell_angle_alpha 90.00
_cell_angle_beta 90.00
_cell_angle_gamma 120.18
_space_group_name_H-M_alt 'P 1'
_space_group_IT_number 1
_space_group_name_Hall 'P 1'
loop_
_atom_site_label
_atom_site_fract_x
_atom_site_fract_y
_atom_site_fract_z
Na1 0.3279 0.6721 0.5000
Mg1 0.1675 0.3216 0.0000
Mg2 0.6784 0.8325 0.0000
Mg3 0.6697 0.3303 0.0000
Mg4 0.3282 0.1503 0.5000
Mg5 0.8497 0.6718 0.5000
Mg6 0.8361 0.1639 0.5000
Cu1 0.1424 0.8576 0.0000
```


(11)
DFT (GGA-PBE) results for NaMgCu3 after structural relaxation.

Formation energy from the elements (kJ/mol of atoms): 66.4
Offset from the most stable computed form (meV per atom): 0.0
Theoretical density (g/cm³): 3.6
Symmetry: Pm-3m

```
data_NaMgCu3
_cell_length_a 4.7910
_cell_length_b 4.7910
_cell_length_c 4.7910
_cell_angle_alpha 90.00
_cell_angle_beta 90.00
_cell_angle_gamma 90.00
_space_group_name_H-M_alt 'P 1'
_space_group_IT_number 1
_space_group_name_Hall 'P 1'
loop_
_atom_site_label
_atom_site_fract_x
_atom_site_fract_y
_atom_site_fract_z
Na1 0.5000 0.5000 0.5000
Mg1 0.0000 0.0000 0.0000
Cu1 0.0000 0.5000 0.0000
Cu2 0.0000 0.0000 0.5000
Cu3 0.5000 0.0000 0.0000
```


(12)
DFT (GGA-PBE) results for Na2MgCu2 after structural relaxation.

Formation energy from the elements (kJ/mol of atoms): 31.3
Offset from the most stable computed form (meV per atom): 116.9
Theoretical density (g/cm³): 3.1
Symmetry: I4/mmm

```
data_Na2MgCu2
_cell_length_a 3.9855
_cell_length_b 3.9855
_cell_length_c 7.1818
_cell_angle_alpha 73.89
_cell_angle_beta 73.89
_cell_angle_gamma 90.00
_space_group_name_H-M_alt 'P 1'
_space_group_IT_number 1
_space_group_name_Hall 'P 1'
loop_
_atom_site_label
_atom_site_fract_x
_atom_site_fract_y
_atom_site_fract_z
Na1 0.7500 0.2500 0.5000
Na2 0.2500 0.7500 0.5000
Mg1 0.0000 0.0000 0.0000
Cu1 0.4129 0.4129 0.1742
Cu2 0.5871 0.5871 0.8258
```


(13)
DFT (GGA-PBE) results for Na2MgCu after structural relaxation.

Formation energy from the elements (kJ/mol of atoms): 29.9
Theoretical density (g/cm³): 2.1
Symmetry: I-42d

```
data_Na2MgCu
_cell_length_a 8.7134
_cell_length_b 8.7134
_cell_length_c 6.7406
_cell_angle_alpha 49.73
_cell_angle_beta 49.73
_cell_angle_gamma 90.00
_space_group_name_H-M_alt 'P 1'
_space_group_IT_number 1
_space_group_name_Hall 'P 1'
loop_
_atom_site_label
_atom_site_fract_x
_atom_site_fract_y
_atom_site_fract_z
Na1 0.6889 0.1250 0.2500
Na2 0.0611 0.6250 0.2500
Na3 0.3750 0.3111 0.7500
Na4 0.8750 0.9389 0.7500
Mg1 0.5000 0.5000 0.0000
Mg2 0.2500 0.7500 0.5000
Cu1 0.0000 0.0000 0.0000
Cu2 0.7500 0.2500 0.5000
```